First-principles (PBE+U) data for a relaxed structure of CoTc3O, as listed in Alexandria via LeMat-Bulk.

Cell: 3.9899 3.9899 3.9899 Å, 90.00 90.00 90.00°
Fractional positions:
Co: 0.5000 0.5000 0.5000
Tc: 0.0000 0.5000 0.0000
Tc: 0.0000 0.0000 0.5000
Tc: 0.5000 0.0000 0.0000
O: 0.0000 0.0000 0.0000

E_tot	-7.820	eV/atom